# MnCr2SnC | Alexandria | PBE-GGA | optimized geometry
# - calculated density (g cm⁻³) = 7.71
# - energy of formation from the pure elements (meV per atom) = 49
# - energy (eV per atom) = -8.28
data_MnCr2SnC
_chemical_formula_sum 'Mn1 Cr2 Sn1 C1'
_cell_length_a 4.019
_cell_length_b 4.019
_cell_length_c 3.861
_cell_angle_alpha 90.00
_cell_angle_beta 90.00
_cell_angle_gamma 90.00
_space_group_name_H-M_alt 'P 4/m m m'
_space_group_IT_number 123
_space_group_name_Hall '-P 4 2'
loop_
_atom_site_label
_atom_site_type_symbol
_atom_site_fract_x
_atom_site_fract_y
_atom_site_fract_z
Mn1 Mn 0.000 0.000 0.000
Cr1 Cr 0.000 0.500 0.500
Sn1 Sn 0.500 0.500 0.000
C1 C 0.000 0.000 0.500


# Pr6Ho3Sc2 | Alexandria | PBE-GGA | optimized geometry
# - calculated density (g cm⁻³) = 6.35
# - energy of formation from the pure elements (meV per atom) = 190
# - energy (eV per atom) = -4.82
data_Pr6Ho3Sc2
_chemical_formula_sum 'Pr12 Ho6 Sc4'
_cell_length_a 6.226
_cell_length_b 10.800
_cell_length_c 11.324
_cell_angle_alpha 90.00
_cell_angle_beta 100.58
_cell_angle_gamma 90.00
_space_group_name_H-M_alt 'C 1 2/m 1'
_space_group_IT_number 12
loop_
_space_group_symop_operation_xyz
'x,y,z'
'-x,-y,-z'
'-x,y,-z'
'x,-y,z'
'x+1/2,y+1/2,z'
'-x+1/2,-y+1/2,-z'
'-x+1/2,y+1/2,-z'
'x+1/2,-y+1/2,z'
loop_
_atom_site_label
_atom_site_type_symbol
_atom_site_fract_x
_atom_site_fract_y
_atom_site_fract_z
Pr1 Pr 0.244 0.165 0.237
Pr2 Pr 0.249 0.500 0.237
Ho1 Ho 0.000 0.167 0.500
Ho2 Ho 0.000 0.500 0.500
Sc1 Sc 0.000 0.333 0.000


# InRh3Br | Alexandria | PBE-GGA | optimized geometry
# - formation energy without anion corrections (meV per atom) = 753
# - calculated density (g cm⁻³) = 8.47
# - ΔE to the lowest computed polymorph (eV per formula unit) = 0.00
# - energy (eV per atom) = -4.54
data_InRh3Br
_chemical_formula_sum 'In1 Rh3 Br1'
_cell_length_a 4.621
_cell_length_b 4.621
_cell_length_c 4.621
_cell_angle_alpha 90.00
_cell_angle_beta 90.00
_cell_angle_gamma 90.00
_space_group_name_H-M_alt 'P m -3 m'
_space_group_IT_number 221
_space_group_name_Hall '-P 4 2 3'
loop_
_atom_site_label
_atom_site_type_symbol
_atom_site_fract_x
_atom_site_fract_y
_atom_site_fract_z
In1 In 0.000 0.000 0.000
Rh1 Rh 0.000 0.500 0.500
Br1 Br 0.500 0.500 0.500


# ReSeBr2 | Alexandria | PBE-GGA | optimized geometry
# - formation energy without anion corrections (meV per atom) = 1199
# - calculated density (g cm⁻³) = 7.24
# - ΔE to the lowest computed polymorph (eV per formula unit) = 4.62
# - energy (eV per atom) = -3.62
data_ReSeBr2
_chemical_formula_sum 'Re2 Se2 Br4'
_cell_length_a 6.360
_cell_length_b 8.599
_cell_length_c 4.737
_cell_angle_alpha 90.00
_cell_angle_beta 131.18
_cell_angle_gamma 90.00
_space_group_name_H-M_alt 'C 1 2/m 1'
_space_group_IT_number 12
loop_
_space_group_symop_operation_xyz
'x,y,z'
'-x,-y,-z'
'-x,y,-z'
'x,-y,z'
'x+1/2,y+1/2,z'
'-x+1/2,-y+1/2,-z'
'-x+1/2,y+1/2,-z'
'x+1/2,-y+1/2,z'
loop_
_atom_site_label
_atom_site_type_symbol
_atom_site_fract_x
_atom_site_fract_y
_atom_site_fract_z
Re1 Re 0.000 0.000 0.000
Se1 Se 0.000 0.500 0.000
Br1 Br 0.250 0.250 0.500